Entry 1:
NdDyIrPd, optimized geometry, DFT PBE-GGA; formation energy = -0.78 eV per atom; space group = F-43m (216)
1.0
4.983 0.000 0.000
2.491 4.315 0.000
2.491 1.438 4.068
Ir Nd Pd Dy
1 1 1 1
Cartesian
7.474 4.315 3.051 Ir
0.000 0.000 0.000 Nd
2.491 1.438 1.017 Pd
4.983 2.877 2.034 Dy



Entry 2:
NaBe3Rh, optimized geometry, DFT PBE-GGA; E above lowest polymorph = 1471 meV per atom; formation energy = 1.66 eV per atom; space group = Pm-3m (221)
1.0
4.037 0.000 0.000
0.000 4.037 0.000
0.000 0.000 4.037
Na Rh Be
1 1 3
Cartesian
0.000 0.000 0.000 Na
2.018 2.018 2.018 Rh
0.000 2.018 0.000 Be
0.000 0.000 2.018 Be
2.018 0.000 0.000 Be



Entry 3:
BPbF2, optimized geometry, DFT PBE-GGA; E above lowest polymorph = 564 meV per atom; formation energy without anion corrections = -0.290 eV/atom; space group = R-3m (166)
1.0
-4.149 4.732 4.001
-6.186 2.087 3.603
-3.863 2.069 6.034
Pb B F
1 1 2
Cartesian
0.000 0.000 0.000 Pb
-7.099 4.444 6.819 B
-12.636 7.911 12.138 F
-1.562 0.978 1.500 F



Entry 4:
Li3HoZn3, optimized geometry, DFT PBE-GGA; formation energy = 0.26 eV per atom; space group = Pm-3n (223)
1.0
6.552 0.000 0.000
0.000 6.552 0.000
0.000 0.000 6.552
Zn Ho Li
6 2 6
Cartesian
0.000 1.638 3.276 Zn
0.000 4.914 3.276 Zn
3.276 0.000 4.914 Zn
4.914 3.276 0.000 Zn
3.276 0.000 1.638 Zn
1.638 3.276 0.000 Zn
3.276 3.276 3.276 Ho
0.000 0.000 0.000 Ho
1.638 0.000 3.276 Li
0.000 3.276 1.638 Li
3.276 4.914 0.000 Li
4.914 0.000 3.276 Li
0.000 3.276 4.914 Li
3.276 1.638 0.000 Li



Entry 5:
Tl2Hg2Cl5, optimized geometry, DFT PBE-GGA; formation energy without anion corrections = -0.694 eV/atom; space group = C2/m (12)
1.0
-4.490 3.056 0.630
-1.526 -6.146 -4.788
-0.087 -1.723 7.736
Tl Hg Cl
2 2 5
Cartesian
-2.977 -4.780 1.974 Tl
-3.126 -0.033 1.603 Tl
-1.062 -2.677 5.416 Hg
-5.041 -2.136 -1.838 Hg
-2.702 -3.482 -2.368 Cl
-3.401 -1.332 5.946 Cl
-1.195 -2.332 2.793 Cl
-4.908 -2.482 0.785 Cl
0.000 0.000 0.000 Cl



Entry 6:
KTl6Sb, optimized geometry, DFT PBE-GGA; E above lowest polymorph = 47 meV per atom; formation energy without anion corrections = -0.004 eV/atom; space group = P4/mmm (123)
1.0
-1.200 -0.970 5.378
-4.546 -2.879 -1.533
4.980 -7.714 -0.280
K Tl Sb
1 6 1
Cartesian
0.000 0.000 0.000 K
2.797 -5.746 2.498 Tl
1.124 -6.701 -0.957 Tl
-2.071 -3.166 1.877 Tl
1.306 -8.397 1.687 Tl
-0.689 -3.892 -0.856 Tl
0.983 -2.937 2.600 Tl
2.490 -3.857 -0.140 Sb



Entry 7:
Li2BeIr, optimized geometry, DFT PBE-GGA; formation energy = 0.08 eV per atom; space group = Cmmm (65)
1.0
2.589 0.012 0.000
-1.160 2.315 0.000
0.000 0.000 8.808
Be Ir Li
1 1 2
Cartesian
0.714 1.163 2.202 Be
0.714 1.163 6.606 Ir
0.000 0.000 8.779 Li
0.000 0.000 4.433 Li



Entry 8:
PmHoSn6, optimized geometry, DFT PBE-GGA; formation energy = -0.45 eV per atom; space group = P4/mmm (123)
1.0
4.804 0.000 0.000
0.000 4.804 0.000
0.000 0.000 9.194
Pm Ho Sn
1 1 6
Cartesian
0.000 0.000 0.000 Pm
0.000 0.000 4.597 Ho
2.402 2.402 0.000 Sn
2.402 2.402 4.597 Sn
2.402 0.000 2.339 Sn
2.402 0.000 6.855 Sn
0.000 2.402 2.339 Sn
0.000 2.402 6.855 Sn



Entry 9:
Ba2SrTm, optimized geometry, DFT PBE-GGA; E above lowest polymorph = 196 meV per atom; formation energy = 0.37 eV per atom; space group = R-3m (166)
1.0
3.935 0.000 0.000
1.967 3.407 0.000
1.967 1.136 14.455
Sr Tm Ba
1 1 2
Cartesian
3.935 2.272 7.227 Sr
0.000 0.000 0.000 Tm
1.967 1.136 10.900 Ba
5.902 3.407 3.555 Ba



Entry 10:
Be2ZnIn2, optimized geometry, DFT PBE-GGA; formation energy = 0.36 eV per atom; space group = P4/mbm (127)
1.0
-3.874 -2.553 -4.423
-0.477 -5.346 3.504
-3.212 1.546 1.921
Be Zn In
4 2 4
Cartesian
-1.875 -5.643 1.406 Be
-3.691 -5.572 -1.688 Be
-2.476 -2.256 -2.326 Be
-0.660 -2.327 0.769 Be
0.000 0.000 0.000 Zn
-2.176 -3.950 -0.460 Zn
-2.605 -3.280 2.552 In
-4.614 -5.362 0.868 In
-4.959 -3.073 -1.550 In
-2.950 -0.992 0.134 In



Entry 11:
CuH2CS2N, optimized geometry, DFT PBE-GGA; energy = -149.86 eV for the cell shown; space group = P2_12_12_1 (19)
1.0
5.968 0.000 0.000
0.000 6.778 0.000
0.000 0.000 9.518
Cu H C S N
4 8 4 8 4
Cartesian
0.543 5.012 6.011 Cu
2.441 1.765 1.253 Cu
3.527 5.154 3.506 Cu
5.425 1.623 8.265 Cu
2.094 5.726 8.059 H
0.890 1.052 3.300 H
5.078 4.441 1.459 H
3.874 2.337 6.218 H
3.583 6.323 8.771 H
5.369 0.454 4.013 H
0.599 3.843 0.746 H
2.385 2.935 5.505 H
3.513 6.294 6.708 C
5.439 0.483 1.949 C
0.529 3.872 2.810 C
2.455 2.906 7.569 C
2.479 6.027 5.357 S
0.505 0.751 0.598 S
5.463 4.140 4.161 S
3.489 2.638 8.920 S
0.831 3.505 7.773 S
2.153 3.273 3.014 S
3.815 6.662 1.745 S
5.137 0.116 6.503 S
3.035 6.106 7.933 N
5.917 0.671 3.174 N
0.051 4.060 1.585 N
2.933 2.718 6.344 N



Entry 12:
PuAsSe2O, optimized geometry, DFT PBE-GGA; formation energy without anion corrections = -1.357 eV/atom; space group = P4/nmm (129)
1.0
3.894 0.000 0.000
0.000 3.894 0.000
0.000 0.000 13.402
Pu As Se O
2 2 4 2
Cartesian
1.947 0.000 7.951 Pu
0.000 1.947 5.451 Pu
1.947 0.000 1.497 As
0.000 1.947 11.905 As
0.000 1.947 9.361 Se
0.000 1.947 1.444 Se
1.947 0.000 11.957 Se
1.947 0.000 4.041 Se
0.000 0.000 6.701 O
1.947 1.947 6.701 O



Entry 13:
Ta3Tc, optimized geometry, DFT PBE-GGA; E above lowest polymorph = 66 meV per atom; formation energy = -0.21 eV per atom; space group = Fm-3m (225)
1.0
4.591 0.000 0.000
2.295 3.976 0.000
2.295 1.325 3.748
Tc Ta
1 3
Cartesian
6.886 3.976 2.811 Tc
0.000 0.000 0.000 Ta
4.591 2.650 1.874 Ta
2.295 1.325 0.937 Ta



Entry 14:
Rb2Hg4Pd, optimized geometry, DFT PBE-GGA; E above lowest polymorph = 0 meV per atom; formation energy = -0.24 eV per atom; space group = Cmmm (65)
1.0
-3.385 2.520 -3.369
0.936 -3.800 -3.783
-6.618 -2.495 4.784
Rb Hg Pd
2 4 1
Cartesian
-6.006 -1.823 0.344 Rb
-3.060 -1.952 -2.712 Rb
0.468 -1.900 -1.891 Hg
-1.693 1.260 -1.685 Hg
-2.147 -1.534 1.010 Hg
-3.535 -4.761 -0.009 Hg
0.000 0.000 0.000 Pd



Entry 15:
VTc2Mo2, optimized geometry, DFT PBE-GGA; E above lowest polymorph = 773 meV per atom; formation energy = 0.69 eV per atom; space group = I4/mmm (139)
1.0
-2.044 3.661 0.285
-2.483 -1.137 -3.195
-5.583 -0.850 1.877
Mo Tc V
2 2 1
Cartesian
-4.945 2.037 0.354 Mo
-5.164 -0.362 -1.387 Mo
-3.042 0.767 -0.673 Tc
-7.067 0.908 -0.360 Tc
0.000 0.000 0.000 V



Entry 16:
ReAgC2I, optimized geometry, DFT PBE-GGA; formation energy without anion corrections = 3.361 eV/atom; space group = P4/mmm (123)
1.0
4.200 0.000 0.000
0.000 5.088 0.000
0.000 0.000 4.200
I Re C Ag
1 1 2 1
Cartesian
0.000 0.000 0.000 I
0.000 2.544 0.000 Re
0.000 0.000 2.100 C
2.100 0.000 0.000 C
2.100 2.544 2.100 Ag



| no. | mass density (g/cm3) |
| --- | --- |
| 1 | 11.49 |
| 2 | 3.86 |
| 3 | 6.03 |
| 4 | 4.51 |
| 5 | 5.67 |
| 6 | 8.01 |
| 7 | 6.75 |
| 8 | 8.00 |
| 9 | 4.55 |
| 10 | 6.25 |
| 11 | 2.69 |
| 12 | 8.06 |
| 13 | 15.56 |
| 14 | 7.54 |
| 15 | 8.00 |
| 16 | 8.23 |